Here is NiGe2PbO6 after structural relaxation from Alexandria via LeMat-Bulk. Energies are from PBE with a Hubbard U.

- total DFT energy (no corrections) (eV/cell) = -119.8
- DOS(E_F) (states/eV per cell) = 0.00
- V (Å³ per atom) = 13.110
- size of the total moment (μB/f.u.) = 2.03
- crystal system = monoclinic

Cell lengths 5.5919, 7.0079, 7.0079 Å; angles 84.16, 77.97, 77.97 degrees
Last column: nearest neighbours and their distance in Å.
Sites, in units of the cell vectors:
Ni 0.7500 0.5914 0.4086  6 O 2.09-2.17
Ni 0.2500 0.4086 0.5914  6 O 2.09-2.17
O 0.9748 0.1706 0.1273  2 Ge 1.80-1.83
O 0.5252 0.8727 0.8294  2 Ge 1.80-1.83
O 0.1948 0.1159 0.5962  1 Ge 1.74
O 0.3722 0.6861 0.5250  1 Ge 1.77
O 0.1278 0.4750 0.3139  1 Ge 1.77
O 0.3052 0.4038 0.8841  1 Ge 1.74
O 0.0252 0.8294 0.8727  2 Ge 1.80-1.83
O 0.6948 0.5962 0.1159  1 Ge 1.74
O 0.4748 0.1273 0.1706  2 Ge 1.80-1.83
O 0.8052 0.8841 0.4038  1 Ge 1.74
O 0.8722 0.5250 0.6861  1 Ge 1.77
O 0.6278 0.3139 0.4750  1 Ge 1.77
Ge 0.7088 0.1227 0.3131  4 O 1.74-1.83
Ge 0.7912 0.6869 0.8773  4 O 1.74-1.83
Ge 0.2912 0.8773 0.6869  4 O 1.74-1.83
Ge 0.2088 0.3131 0.1227  4 O 1.74-1.83
Pb 0.7500 0.2071 0.7929  4 O 2.46-2.57
Pb 0.2500 0.7929 0.2071  4 O 2.46-2.57